Entry 1:
Computed, not measured: an optimized crystal structure of ZrTlSiSe3 at the GGA-PBE level of DFT.

```
data_ZrTlSiSe3
_cell_length_a 3.678
_cell_length_b 15.241
_cell_length_c 11.043
_cell_angle_alpha 90.00
_cell_angle_beta 90.00
_cell_angle_gamma 90.00
_space_group_name_H-M_alt 'C m c m'
_space_group_IT_number 63
_space_group_name_Hall '-C 2c 2'
loop_
_atom_site_label
_atom_site_fract_x
_atom_site_fract_y
_atom_site_fract_z
Zr1 0.000 0.000 0.000
Tl1 0.000 0.287 0.250
Si1 0.000 0.377 0.750
Se1 0.000 0.006 0.250
Se2 0.000 0.371 0.512
```



Entry 2:
Computed, not measured: an optimized crystal structure of Tm3SiSe2 at the GGA-PBE level of DFT.

```
data_Tm3SiSe2
_cell_length_a 4.056
_cell_length_b 5.688
_cell_length_c 12.186
_cell_angle_alpha 90.00
_cell_angle_beta 90.00
_cell_angle_gamma 90.00
_space_group_name_H-M_alt 'I m m m'
_space_group_IT_number 71
_space_group_name_Hall '-I 2 2'
loop_
_atom_site_label
_atom_site_fract_x
_atom_site_fract_y
_atom_site_fract_z
Tm1 0.000 0.000 0.000
Tm2 0.000 0.000 0.344
Si1 0.000 0.500 0.000
Se1 0.000 0.500 0.330
```



Per-record mass density, g cm⁻³: 6.01; 8.18
Per-record E, eV/f.u.: -30.35; -34.63